Density functional theory data (PBE with a Hubbard U) for a relaxed LiMnClO crystal.

a b c (Å): 3.5237 3.5735 5.3563
angles (deg): 90.00 90.00 90.00
Positions (direct):
Li (0.0000, 0.0000, 0.0000)
Mn (0.5000, 0.5000, 0.3464)
Cl (0.0000, 0.5000, 0.6855)
O (0.5000, 0.0000, 0.1775)

Calculated values
energy	-5.61	eV/atom
M_tot	5.00	Bohr magnetons per cell